DFT (PBE) results for an optimized crystal structure of CrTe.

Cell lengths 3.5673, 6.7920, 12.7640 Å; angles 90.00, 90.00, 90.00 degrees
Site moments in Bohr magnetons follow the coordinates.
Element x y z (fractional)
Cr1 0.0000 0.9907 0.6847  1.00
Cr2 0.5000 0.0093 0.8153  1.00
Cr3 0.5000 0.0093 0.1847  1.00
Cr4 0.0000 0.9907 0.3153  1.00
Cr5 0.0000 0.4831 0.0000  3.61
Cr6 0.5000 0.5169 0.5000  3.61
Te1 0.0000 0.7291 0.8329  -0.08
Te2 0.5000 0.2709 0.6671  -0.08
Te3 0.5000 0.2709 0.3329  -0.08
Te4 0.0000 0.7291 0.1671  -0.08
Te5 0.0000 0.8069 0.5000  -0.15
Te6 0.5000 0.1931 0.0000  -0.15

Calculated values
Uncorrected formation energy in eV/atom: 0.304
M_tot in μB/f.u.: 1.96